(1)
Sc5Sn2IrRh2: optimized geometry, PBE.

Properties
total magnetization	0.00	μB/cell
DFT formation energy	-0.747	eV per atom

a b c (Å): 10.982 10.982 3.343
angles (deg): 90.00 90.00 90.00
Space group P4/mbm (No. 127)
Unique sites:
Sc  0.000  0.500  0.000 [2 per cell]
Sc  0.069  0.192  0.000 [8 per cell]
Sn  0.172  0.672  0.500 [4 per cell]
Ir  0.000  0.000  0.500 [2 per cell]
Rh  0.136  0.364  0.500 [4 per cell]

---

(2)
K2CoI: optimized geometry, PBE.

Properties
total magnetization	8.00	μB/cell
offset from the most stable computed form	0.000	eV/atom
raw formation energy	64.2	meV/atom

a b c (Å): 8.482 8.482 8.482
angles (deg): 90.00 90.00 90.00
Space group Fm-3m (No. 225)
Unique sites:
K  0.250  0.250  0.250 [8 per cell]
Co  0.000  0.000  0.000 [4 per cell]
I  0.000  0.000  0.500 [4 per cell]

---

(3)
BaRe2Mo: optimized geometry, PBE.

Properties
total magnetization	0.00	μB/cell
offset from the most stable computed form	0.079	eV/atom
DFT formation energy	0.846	eV per atom

a b c (Å): 9.572 3.185 6.349
angles (deg): 90.00 103.35 90.00
Space group Cm (No. 8)
Unique sites:
Ba  0.000  0.000  0.000 [2 per cell]
Re  0.279  0.500  0.371 [2 per cell]
Re  0.491  0.000  0.487 [2 per cell]
Mo  0.204  0.000  0.628 [2 per cell]

---

Computed mass density (Mg/m³) in order:
7.1; 2.9; 10.7
Computed DFT total energy (eV per cell) in order:
-141.4; -42.4; -68.5